(1)
A geometry-optimized TbLuTlRu structure, computed with PBE-GGA.

abc: 5.0427 5.0427 5.0427
angles: 60.00 60.00 60.00
Sites, in units of the cell vectors:
Tl1 0.7500 0.7500 0.7500
Lu1 0.0000 0.0000 0.0000
Ru1 0.2500 0.2500 0.2500
Tb1 0.5000 0.5000 0.5000

Properties
energy of formation	-25.21	kJ per mole of atoms
calculated total energy	-5.460	eV per atom
size of the total moment	0.00	μB/f.u.

(2)
A geometry-optimized TbLuZnRu structure, computed with PBE-GGA.

abc: 4.8739 4.8739 4.8739
angles: 60.00 60.00 60.00
Sites, in units of the cell vectors:
Ru1 0.7500 0.7500 0.7500
Tb1 0.0000 0.0000 0.0000
Lu1 0.5000 0.5000 0.5000
Zn1 0.2500 0.2500 0.2500

Properties
energy of formation	-36.98	kJ per mole of atoms
calculated total energy	-5.309	eV per atom
size of the total moment	0.00	μB/f.u.

(3)
A geometry-optimized Lu2TcRu structure, computed with PBE-GGA.

abc: 3.3384 3.3384 6.7648
angles: 90.00 90.00 90.00
Each line ends with the local moment (μB).
Sites, in units of the cell vectors:
Ru1 0.5000 0.5000 0.0000  -0.07
Lu1 0.0000 0.0000 0.2445  -0.01
Lu2 0.0000 0.0000 0.7555  -0.01
Tc1 0.5000 0.5000 0.5000  -0.46

Properties
energy of formation	-18.10	kJ per mole of atoms
calculated total energy	-7.359	eV per atom
size of the total moment	0.61	μB/f.u.

(4)
A geometry-optimized LuTiTcRu structure, computed with PBE-GGA.

abc: 4.5438 4.5438 4.5438
angles: 60.00 60.00 60.00
Sites, in units of the cell vectors:
Ru1 0.0000 0.0000 0.0000
Tc1 0.5000 0.5000 0.5000
Lu1 0.7500 0.7500 0.7500
Ti1 0.2500 0.2500 0.2500

Properties
energy of formation	-32.21	kJ per mole of atoms
calculated total energy	-8.348	eV per atom
size of the total moment	0.00	μB/f.u.

(5)
A geometry-optimized LuVTcRu structure, computed with PBE-GGA.

abc: 4.4820 4.4820 4.4820
angles: 60.00 60.00 60.00
Sites, in units of the cell vectors:
Lu1 0.5000 0.5000 0.5000
V1 0.0000 0.0000 0.0000
Ru1 0.2500 0.2500 0.2500
Tc1 0.7500 0.7500 0.7500

Properties
energy of formation	-18.16	kJ per mole of atoms
calculated total energy	-8.509	eV per atom
size of the total moment	0.00	μB/f.u.

(6)
A geometry-optimized LuTcRuW structure, computed with PBE-GGA.

abc: 4.5370 4.5370 4.5370
angles: 60.00 60.00 60.00
Sites, in units of the cell vectors:
Tc1 0.2500 0.2500 0.2500
W1 0.0000 0.0000 0.0000
Ru1 0.7500 0.7500 0.7500
Lu1 0.5000 0.5000 0.5000

Properties
energy of formation	-16.54	kJ per mole of atoms
calculated total energy	-9.450	eV per atom
size of the total moment	0.02	μB/f.u.

(7)
A geometry-optimized LuThRu structure, computed with PBE-GGA.

abc: 3.3982 3.3982 6.8995
angles: 104.26 104.26 90.00
Sites, in units of the cell vectors:
Ru1 0.6633 0.6633 0.3267
Th1 0.3009 0.3009 0.6019
Lu1 0.0357 0.0357 0.0715

Properties
energy of formation	-28.35	kJ per mole of atoms
calculated total energy	-7.366	eV per atom
size of the total moment	0.00	μB/f.u.

(8)
A geometry-optimized LuThRu structure, computed with PBE-GGA.

abc: 4.8299 4.8299 4.8299
angles: 60.00 60.00 60.00
Sites, in units of the cell vectors:
Ru1 0.2500 0.2500 0.2500
Lu1 0.0000 0.0000 0.0000
Th1 0.5000 0.5000 0.5000

Properties
energy of formation	-27.85	kJ per mole of atoms
calculated total energy	-7.361	eV per atom
size of the total moment	0.00	μB/f.u.

(9)
A geometry-optimized LuThTlRu structure, computed with PBE-GGA.

abc: 5.1566 5.1566 5.1566
angles: 60.00 60.00 60.00
Sites, in units of the cell vectors:
Tl1 0.0000 0.0000 0.0000
Ru1 0.5000 0.5000 0.5000
Th1 0.7500 0.7500 0.7500
Lu1 0.2500 0.2500 0.2500

Properties
energy of formation	-14.61	kJ per mole of atoms
calculated total energy	-6.047	eV per atom
size of the total moment	0.00	μB/f.u.

(10)
A geometry-optimized LuThZnRu structure, computed with PBE-GGA.

abc: 4.9774 4.9774 4.9774
angles: 60.00 60.00 60.00
Sites, in units of the cell vectors:
Ru1 0.7500 0.7500 0.7500
Lu1 0.5000 0.5000 0.5000
Zn1 0.2500 0.2500 0.2500
Th1 0.0000 0.0000 0.0000

Properties
energy of formation	-34.53	kJ per mole of atoms
calculated total energy	-5.981	eV per atom
size of the total moment	0.00	μB/f.u.

(11)
A geometry-optimized LuTiRu structure, computed with PBE-GGA.

abc: 3.2252 3.2252 5.8729
angles: 105.94 105.94 90.00
Each line ends with the local moment (μB).
Sites, in units of the cell vectors:
Lu1 0.0130 0.0130 0.0260  -0.25
Ti1 0.3040 0.3040 0.6080  -0.56
Ru1 0.6830 0.6830 0.3659  -0.01

Properties
energy of formation	-33.47	kJ per mole of atoms
calculated total energy	-7.578	eV per atom
size of the total moment	1.05	μB/f.u.

(12)
A geometry-optimized Lu2TiRu structure, computed with PBE-GGA.

abc: 3.3266 3.3266 7.5355
angles: 90.00 90.00 90.00
Sites, in units of the cell vectors:
Lu1 0.0000 0.0000 0.2163
Lu2 0.0000 0.0000 0.7837
Ru1 0.5000 0.5000 0.0000
Ti1 0.5000 0.5000 0.5000

Properties
energy of formation	-13.93	kJ per mole of atoms
calculated total energy	-6.698	eV per atom
size of the total moment	0.04	μB/f.u.

(13)
A geometry-optimized LuTiRu2 structure, computed with PBE-GGA.

abc: 3.2058 4.5336 4.5336
angles: 90.00 90.00 90.00
Sites, in units of the cell vectors:
Ru1 0.0000 0.5000 0.0000
Ru2 0.0000 0.0000 0.5000
Lu1 0.5000 0.5000 0.5000
Ti1 0.5000 0.0000 0.0000

Properties
energy of formation	-51.74	kJ per mole of atoms
calculated total energy	-8.278	eV per atom
size of the total moment	0.00	μB/f.u.

(14)
A geometry-optimized LuTiRu2 structure, computed with PBE-GGA.

abc: 3.1811 3.1811 6.5200
angles: 90.00 90.00 90.00
Sites, in units of the cell vectors:
Ti1 0.5000 0.5000 0.0000
Ru1 0.0000 0.0000 0.2257
Ru2 0.0000 0.0000 0.7743
Lu1 0.5000 0.5000 0.5000

Properties
energy of formation	-58.11	kJ per mole of atoms
calculated total energy	-8.344	eV per atom
size of the total moment	0.00	μB/f.u.

(15)
A geometry-optimized Lu2TlRu structure, computed with PBE-GGA.

abc: 3.3317 3.3317 8.1646
angles: 90.00 90.00 90.00
Sites, in units of the cell vectors:
Ru1 0.5000 0.5000 0.0000
Lu1 0.0000 0.0000 0.7998
Lu2 0.0000 0.0000 0.2002
Tl1 0.5000 0.5000 0.5000

Properties
energy of formation	-46.14	kJ per mole of atoms
calculated total energy	-5.649	eV per atom
size of the total moment	0.00	μB/f.u.

(16)
A geometry-optimized LuTlRu structure, computed with PBE-GGA.

abc: 3.5042 3.5042 5.5692
angles: 108.34 108.34 90.00
Sites, in units of the cell vectors:
Ru1 0.6724 0.6724 0.3448
Tl1 0.0114 0.0114 0.0228
Lu1 0.3162 0.3162 0.6324

Properties
energy of formation	-16.91	kJ per mole of atoms
calculated total energy	-5.563	eV per atom
size of the total moment	0.00	μB/f.u.